# K2LiMn2O4

A geometry-optimized K2LiMn2O4 structure (GGA+U, the Alexandria database).

a b c (Å): 3.055 6.684 7.007
angles (deg): 72.17 90.00 90.00
Fractional positions:
O (0.500, 0.346, 0.426)
Mn (0.500, 0.024, 0.970)
Li (0.500, 0.680, 0.287)
Mn (0.000, 0.448, 0.563)
O (0.500, 0.644, 0.584)
K (0.000, 0.995, 0.479)
K (0.500, 0.503, 0.985)
O (0.000, 0.229, 0.857)
O (0.000, 0.812, 0.120)

Calculated values
Size of the total moment   9.00 μB/f.u.
E above lowest polymorph   28 meV/atom